CeTaPt: relaxed, PBE.

Computed properties:
Mass density = 13564 kg/m3
Calculated volume = 126.4 Å³/cell
VASP energy = -8.12 eV per atom

Unit cell a=7.1443 b=6.6258 c=4.7040 alpha=76.09 beta=64.19 gamma=39.73
Fractional positions:
Ce (0.1752, 0.8248, 0.1752)
Ce (0.8248, 0.1752, 0.8248)
Ta (0.2500, 0.2500, 0.2500)
Ta (0.7500, 0.7500, 0.7500)
Pt (0.3742, 0.3742, 0.6258)
Pt (0.6258, 0.6258, 0.3742)

RbLiIO2: relaxed, PBE.

Computed properties:
Formation energy (no corrections) = -0.301 eV per atom
Mass density = 3301 kg/m3
Calculated volume = 126.4 Å³/cell

Unit cell a=4.7854 b=4.7854 c=5.5199 alpha=90.00 beta=90.00 gamma=90.00
Fractional positions:
Rb (0.0000, 0.0000, 0.0000)
Li (0.5000, 0.5000, 0.5000)
I (0.5000, 0.5000, 0.0000)
O (0.0000, 0.5000, 0.5000)
O (0.5000, 0.0000, 0.5000)

PmTh2Sc7: relaxed, PBE.

Computed properties:
Mass density = 5316 kg/m3
Calculated volume = 288.6 Å³/cell
VASP energy = -6.00 eV per atom

Unit cell a=11.5711 b=11.5711 c=3.3908 alpha=90.00 beta=90.00 gamma=140.53
Fractional positions:
Pm (0.0000, 0.0000, 0.0000)
Th (0.2502, 0.7498, 0.5000)
Th (0.7498, 0.2502, 0.5000)
Sc (0.0694, 0.3054, 0.5000)
Sc (0.3054, 0.0694, 0.5000)
Sc (0.3763, 0.6237, 0.0000)
Sc (0.5000, 0.5000, 0.5000)
Sc (0.6237, 0.3763, 0.0000)
Sc (0.6946, 0.9306, 0.5000)
Sc (0.9306, 0.6946, 0.5000)

PrSmDyHg: relaxed, PBE.

Computed properties:
Mass density = 8909 kg/m3
Calculated volume = 122.0 Å³/cell
VASP energy = -3.84 eV per atom

Unit cell a=3.7003 b=3.7003 c=8.9072 alpha=90.00 beta=90.00 gamma=90.00
Fractional positions:
Pr (0.0000, 0.0000, 0.0000)
Sm (0.5000, 0.5000, 0.7132)
Dy (0.5000, 0.5000, 0.2810)
Hg (0.0000, 0.0000, 0.4864)

Mg2VZnNi: relaxed, PBE.

Computed properties:
Mass density = 3843 kg/m3
Calculated volume = 96.7 Å³/cell
VASP energy = -3.40 eV per atom

Unit cell a=4.7074 b=4.7074 c=4.3615 alpha=90.00 beta=90.00 gamma=90.00
Fractional positions:
Mg (0.0000, 0.5000, 0.0000)
Mg (0.5000, 0.0000, 0.0000)
V (0.0000, 0.0000, 0.5000)
Zn (0.5000, 0.5000, 0.5000)
Ni (0.0000, 0.0000, 0.0000)

BaTi2Hg: relaxed, PBE.

Computed properties:
Mass density = 8128 kg/m3
Calculated volume = 88.6 Å³/cell
VASP energy = -3.87 eV per atom

Unit cell a=5.0040 b=5.0040 c=5.0040 alpha=60.00 beta=60.00 gamma=60.00
Fractional positions:
Ba (0.0000, 0.0000, 0.0000)
Ti (0.2500, 0.2500, 0.2500)
Ti (0.7500, 0.7500, 0.7500)
Hg (0.5000, 0.5000, 0.5000)

Q: What is the mass density in the fourth record?
A: 8909 kg/m3